Here is a relaxed structure of Er4CS2N from Alexandria. Energies are from PBE-GGA.

Lattice parameters (Å, degrees): 6.2806 3.6324 6.5559 90.00 108.62 90.00
With the nearest neighbours (Å) after each atom.
Fractional coordinates of all 8 atoms:
Er 0.2367 0.0000 0.2127  2 C 2.48, 1 N 2.48, 3 S 2.75-2.76
Er 0.2624 0.5000 0.7898  1 C 2.46, 2 N 2.47
Er 0.7376 0.5000 0.2102  1 C 2.46, 2 N 2.47
Er 0.7633 0.0000 0.7873  2 C 2.48, 1 N 2.48, 3 S 2.75-2.76
C 0.0000 0.5000 0.0000  6 Er 2.46-2.48
S 0.0000 0.0000 0.5000  6 Er 2.75-2.76
S 0.5000 0.5000 0.5000  6 Er 2.76-2.77
N 0.5000 0.0000 0.0000  6 Er 2.47-2.48

density of states at the Fermi level = 1.246 states/eV/cell
raw total energy = -57.06 eV per cell
raw formation energy = -1.626 eV/atom